Entry 1:
A relaxed Be4C crystal. Source: Alexandria via LeMat-Bulk, functional PBE.

Unit cell a=3.9329 b=3.9329 c=3.9329 alpha=97.08 beta=97.08 gamma=138.88
Sites, in units of the cell vectors:
Be 0.0836 0.7285 0.8121
Be 0.2715 0.0836 0.3551
Be 0.7285 0.9164 0.6449
Be 0.9164 0.2715 0.1879
C 0.5000 0.5000 0.0000

energy above the lowest structure with this stoichiometry	0.136	eV per atom
E	-4.21	eV per atom
formation energy from the elements	3.056	eV per formula unit

***

Entry 2:
A relaxed Hg2OsCl crystal. Source: Alexandria via LeMat-Bulk, functional PBE.

Unit cell a=5.1305 b=5.1305 c=3.0594 alpha=90.00 beta=90.00 gamma=108.19
Sites, in units of the cell vectors:
Hg 0.0000 0.5000 0.0000
Hg 0.5000 0.0000 0.0000
Os 0.0000 0.0000 0.5000
Cl 0.5000 0.5000 0.5000

energy above the lowest structure with this stoichiometry	0.258	eV per atom
E	-2.68	eV per atom